A geometry-optimized Nd2FeAs2O structure, computed with PBE+U.

Values from the calculation:
**Final energy**: -0.1853 hartree per atom
**Space group**: P4/mmm

abc: 3.306 3.306 15.250
angles: 90.00 90.00 90.00
Element x y z (fractional)
Nd: 0.500 0.500 0.638
Nd: 0.500 0.500 0.362
Fe: 0.500 0.500 0.000
As: 0.500 0.500 0.162
As: 0.500 0.500 0.838
O: 0.500 0.500 0.500